The following is a DFT calculation (GGA+U) of an optimized crystal structure of Zn2InMoO6.

```
Zn2InMoO6
1.0
5.590 -4.556 0.000
5.590 4.556 0.000
-2.159 0.000 5.456
Zn In Mo O
4 2 2 12
direct
0.130 0.294 0.173 Zn
0.294 0.130 0.673 Zn
0.706 0.870 0.327 Zn
0.870 0.706 0.827 Zn
0.406 0.594 0.750 In
0.594 0.406 0.250 In
0.218 0.782 0.250 Mo
0.782 0.218 0.750 Mo
0.057 0.217 0.795 O
0.157 0.653 0.893 O
0.217 0.057 0.295 O
0.301 0.494 0.332 O
0.347 0.843 0.607 O
0.494 0.301 0.832 O
0.506 0.699 0.168 O
0.653 0.157 0.393 O
0.699 0.506 0.668 O
0.783 0.943 0.705 O
0.843 0.347 0.107 O
0.943 0.783 0.205 O
```

Computed properties:
- space-group type = C2/c, No. 15
- final energy (eV per atom) = -5.67